CeBRh4: optimized geometry, PBE.

```
CeBRh4
1.0
5.100 0.000 0.000
0.000 5.100 0.000
-2.550 -2.550 8.134
Ce B Rh
2 2 8
direct
0.000 0.000 0.000
0.750 0.250 0.500
0.500 0.500 0.000
0.250 0.750 0.500
0.599 0.350 0.198
0.598 0.849 0.698
0.100 0.849 0.698
0.599 0.848 0.198
0.151 0.402 0.302
0.650 0.401 0.802
0.152 0.401 0.802
0.151 0.900 0.302
```

Results
The formation energy from the elements comes out at 41 meV/atom. Its space group is No. 141. The energy above the most stable polymorph in this dataset comes out at 572 meV/atom. For the electronic total energy, the calculation gives -0.2559 hartree per atom.

AgIr2W: optimized geometry, PBE.

```
AgIr2W
1.0
-0.251 -0.258 4.923
4.454 -0.321 2.104
-1.975 3.025 -3.364
Ir Ag W
2 1 1
direct
0.000 0.000 0.000
0.250 0.750 0.500
0.750 0.250 0.500
0.500 0.500 0.000
```

Results
The formation energy from the elements comes out at 270 meV/atom. Its space group is No. 119. The energy above the most stable polymorph in this dataset comes out at 268 meV/atom. For the electronic total energy, the calculation gives -0.2981 hartree per atom.

Tm12Tl2Hg5: optimized geometry, PBE.

```
Tm12Tl2Hg5
1.0
-4.515 -4.103 5.133
9.022 -2.628 -0.357
-0.238 6.598 5.065
Tm Tl Hg
12 2 5
direct
0.875 0.750 0.163
0.092 0.628 0.825
0.535 0.628 0.825
0.177 0.768 0.468
0.591 0.768 0.468
0.521 0.041 0.806
0.479 0.959 0.194
0.823 0.232 0.532
0.409 0.232 0.532
0.908 0.372 0.175
0.465 0.372 0.175
0.125 0.250 0.837
0.815 0.000 0.000
0.185 0.000 0.000
0.230 0.460 0.510
0.297 0.595 0.131
0.000 0.000 0.500
0.703 0.405 0.869
0.770 0.540 0.490
```

Results
The formation energy from the elements comes out at -176 meV/atom. Its space group is No. 12. For the electronic total energy, the calculation gives -0.1223 hartree per atom.

Be17ZnRu: optimized geometry, PBE.

```
Be17ZnRu
1.0
-3.284 4.370 0.772
-1.951 -1.340 4.988
3.442 3.055 3.049
Be Zn Ru
17 1 1
direct
0.306 0.997 0.693
0.693 0.306 0.997
0.997 0.693 0.306
0.306 0.693 0.997
0.997 0.306 0.693
0.693 0.997 0.306
0.347 0.830 0.347
0.347 0.347 0.830
0.830 0.347 0.347
0.659 0.152 0.659
0.659 0.659 0.152
0.152 0.659 0.659
0.994 0.499 0.994
0.994 0.994 0.499
0.499 0.994 0.994
0.898 0.898 0.898
0.099 0.099 0.099
0.359 0.359 0.359
0.674 0.674 0.674
```

Results
The formation energy from the elements comes out at -59 meV/atom. Its space group is No. 160. For the electronic total energy, the calculation gives -0.1451 hartree per atom.

BIrICl2: optimized geometry, PBE.

```
BIrICl2
1.0
-3.412 3.635 0.574
0.267 -0.402 4.136
3.666 3.426 0.096
I B Ir Cl
1 1 1 2
direct
0.500 0.500 0.500
0.000 0.500 0.000
0.000 0.000 0.000
0.000 0.000 0.500
0.500 0.000 0.000
```

Results
Its space group is No. 123. The formation energy (no corrections) comes out at 3.19 eV per formula unit. For the electronic total energy, the calculation gives -0.1293 hartree per atom.

Sr2Sc: optimized geometry, PBE.

```
Sr2Sc
1.0
1.938 -10.481 0.000
1.938 10.481 0.000
0.000 0.000 6.146
Sr Sc
4 2
direct
0.402 0.598 0.250
0.598 0.402 0.750
0.708 0.292 0.250
0.292 0.708 0.750
0.045 0.955 0.250
0.955 0.045 0.750
```

Results
The formation energy from the elements comes out at 286 meV/atom. Its space group is No. 63. The energy above the most stable polymorph in this dataset comes out at 72 meV/atom. For the electronic total energy, the calculation gives -0.1082 hartree per atom.

SmDy7Ho3: optimized geometry, PBE.

```
SmDy7Ho3
1.0
5.580 6.272 0.121
-5.580 6.272 0.121
0.000 2.566 5.176
Sm Dy Ho
1 7 3
direct
0.500 0.500 0.500
0.793 0.793 0.207
0.401 0.006 0.296
0.994 0.599 0.704
0.006 0.401 0.296
0.500 0.500 0.000
0.599 0.994 0.704
0.207 0.207 0.793
0.794 0.206 0.000
0.000 0.000 0.500
0.206 0.794 0.000
```

Results
The formation energy from the elements comes out at 260 meV/atom. Its space group is No. 71. The energy above the most stable polymorph in this dataset comes out at 67 meV/atom. For the electronic total energy, the calculation gives -0.1597 hartree per atom.

NiAgSe2: optimized geometry, PBE.

```
NiAgSe2
1.0
3.743 0.000 0.000
0.000 3.743 0.000
0.000 0.000 5.280
Ni Se Ag
1 2 1
direct
0.000 0.000 0.500
0.500 0.500 0.500
0.000 0.000 0.000
0.500 0.500 0.000
```

Results
Its space group is No. 123. The energy above the most stable polymorph in this dataset comes out at 202 meV/atom. The formation energy (no corrections) comes out at 0.22 eV per formula unit. For the electronic total energy, the calculation gives -0.1413 hartree per atom.

Nd3CdSi2Pd9: optimized geometry, PBE.

```
Nd3CdSi2Pd9
1.0
-2.457 2.179 4.800
-1.287 -5.402 -1.730
8.127 -3.824 5.895
Nd Cd Si Pd
3 1 2 9
direct
0.333 0.667 0.618
0.000 0.000 0.000
0.667 0.333 0.382
0.000 0.000 0.500
0.333 0.667 0.156
0.667 0.333 0.844
0.838 0.162 0.701
0.838 0.676 0.701
0.324 0.162 0.701
0.676 0.838 0.299
0.162 0.324 0.299
0.162 0.838 0.299
0.500 0.000 0.000
0.000 0.500 0.000
0.500 0.500 0.000
```

Results
Its space group is No. 164. The formation energy (no corrections) comes out at -8.94 eV per formula unit. For the electronic total energy, the calculation gives -0.2003 hartree per atom.

Pd2Pt2Au5: optimized geometry, PBE.

```
Pd2Pt2Au5
1.0
-0.708 -1.891 1.951
-2.075 -3.867 -6.530
6.215 -3.466 -1.111
Pd Pt Au
2 2 5
direct
0.573 0.146 0.293
0.427 0.854 0.707
0.826 0.652 0.013
0.174 0.348 0.987
0.762 0.524 0.669
0.238 0.476 0.331
0.907 0.815 0.367
0.093 0.185 0.633
0.000 0.000 0.000
```

Results
The formation energy from the elements comes out at 34 meV/atom. Its space group is No. 12. For the electronic total energy, the calculation gives -0.1574 hartree per atom.

Re3C2: optimized geometry, PBE.

```
Re3C2
1.0
8.037 -1.426 0.020
8.037 1.426 0.020
7.778 0.000 2.476
Re C
3 2
direct
0.000 0.000 0.000
0.786 0.786 0.786
0.214 0.214 0.214
0.395 0.395 0.395
0.605 0.605 0.605
```

Results
The formation energy from the elements comes out at 657 meV/atom. Its space group is No. 166. The energy above the most stable polymorph in this dataset comes out at 333 meV/atom. For the electronic total energy, the calculation gives -0.3859 hartree per atom.

CeTl3Se3: optimized geometry, PBE.

```
CeTl3Se3
1.0
-0.663 3.895 1.829
-8.383 0.219 -3.506
-4.641 -5.592 10.222
Ce Tl Se
2 6 6
direct
0.250 0.879 0.377
0.750 0.121 0.623
0.250 0.376 0.370
0.750 0.624 0.630
0.250 0.867 0.873
0.750 0.133 0.127
0.250 0.345 0.862
0.750 0.655 0.138
0.250 0.343 0.617
0.750 0.657 0.383
0.250 0.898 0.614
0.750 0.102 0.386
0.250 0.893 0.143
0.750 0.107 0.857
```

Results
Its space group is No. 11. The formation energy (no corrections) comes out at -6.45 eV per formula unit. For the electronic total energy, the calculation gives -0.1572 hartree per atom.

Zn2In3Hg7: optimized geometry, PBE.

```
Zn2In3Hg7
1.0
-2.991 3.233 1.221
-1.518 -2.698 3.427
10.601 7.097 7.173
Zn In Hg
2 3 7
direct
0.500 0.354 0.708
0.500 0.646 0.292
0.500 0.500 0.000
0.000 0.290 0.581
0.000 0.710 0.419
0.500 0.797 0.594
0.500 0.203 0.406
0.000 0.410 0.820
0.000 0.000 0.000
0.000 0.590 0.180
0.500 0.085 0.171
0.500 0.915 0.829
```

Results
The formation energy from the elements comes out at 43 meV/atom. Its space group is No. 65. For the electronic total energy, the calculation gives -0.0378 hartree per atom.

Ag2TeI: optimized geometry, PBE.

```
Ag2TeI
1.0
-0.529 2.145 -3.664
-6.086 -2.953 0.226
-1.388 6.777 4.687
I Te Ag
2 2 4
direct
0.685 0.760 0.430
0.315 0.240 0.570
0.209 0.806 0.981
0.791 0.194 0.019
0.179 0.670 0.645
0.821 0.330 0.355
0.663 0.525 0.853
0.337 0.475 0.147
```

Results
Its space group is No. 2. The energy above the most stable polymorph in this dataset comes out at 61 meV/atom. The formation energy (no corrections) comes out at -0.27 eV per formula unit. For the electronic total energy, the calculation gives -0.0980 hartree per atom.

BiBrCl2: optimized geometry, PBE.

```
BiBrCl2
1.0
5.053 0.000 0.000
0.000 5.053 0.000
2.527 2.527 9.323
Bi Br Cl
2 2 4
direct
0.000 0.000 0.000
0.750 0.250 0.500
0.500 0.500 0.000
0.250 0.750 0.500
0.700 0.125 0.250
0.050 0.625 0.250
0.375 0.300 0.750
0.875 0.950 0.750
```

Results
Its space group is No. 122. The energy above the most stable polymorph in this dataset comes out at 586 meV/atom. The formation energy (no corrections) comes out at -1.20 eV per formula unit. For the electronic total energy, the calculation gives -0.0959 hartree per atom.

MnSiRh2: optimized geometry, PBE.

```
MnSiRh2
1.0
-0.508 2.351 -1.409
-2.464 0.236 1.282
2.823 3.478 4.784
Mn Rh Si
1 2 1
direct
0.500 0.500 0.728
0.000 0.000 0.972
0.500 0.500 0.292
0.000 0.000 0.508
```

Results
Its space group is No. 99. The formation energy (no corrections) comes out at -1.34 eV per formula unit. For the electronic total energy, the calculation gives -0.2815 hartree per atom.